[1]
Compound: YHo4Os2
Source: the Alexandria database
Functional: GGA-PBE
Structure: optimized geometry

Total DFT energy (no corrections) (eV/atom): -6.94
Calculated volume (A^3/atom): 25.5
Space group: P2_1/m, No. 11
Energy relative to the elements (eV/atom): -0.188

```
14
Lattice="-2.9622 -1.7478 5.2326 6.0574 -4.7450 1.8442 0.8912 7.1563 2.8948" Properties=species:S:1:pos:R:3 pbc="T T T"
Y 5.2195 2.5519 5.6805
Y -1.2331 -1.8884 4.2912
Ho 1.7312 2.5746 5.5961
Ho 1.0716 0.7058 2.7157
Ho 2.9147 -0.0423 7.2559
Ho 0.2576 1.7051 8.1992
Ho -1.7612 1.3085 5.0600
Ho 3.7288 -1.0416 1.7724
Ho 2.2552 -1.9111 4.3755
Ho 5.7476 -0.6450 4.9117
Os 1.6799 5.3212 4.6017
Os 2.3064 -4.6577 5.3699
Os 0.4278 -0.1277 5.8195
Os 3.5586 0.7912 4.1521
```


[2]
Compound: YHo3Os
Source: the Alexandria database
Functional: GGA-PBE
Structure: optimized geometry

Total DFT energy (no corrections) (eV/atom): -6.36
Energy above the lowest structure with this stoichiometry (eV per atom): 0.0000
Calculated volume (A^3/atom): 30.5
Space group: Pmn2_1, No. 31
Energy relative to the elements (eV/atom): -0.073

```
10
Lattice="6.2096 -0.0002 -0.0001 0.0003 6.4103 -0.0013 0.0001 0.0007 7.6704" Properties=species:S:1:pos:R:3 pbc="T T T"
Y 2.6618 2.1345 5.3763
Y 5.7662 0.1272 1.5396
Ho 2.6233 2.1461 1.5410
Ho 2.6445 5.4888 7.2951
Ho 5.7487 3.1836 3.4606
Ho 5.7283 0.1158 5.3748
Ho 5.7505 3.1839 7.2881
Ho 2.6454 5.4885 3.4524
Os 1.0887 4.3484 5.3735
Os 4.1934 4.3236 1.5383
```


[3]
Compound: Y2HoOs
Source: the Alexandria database
Functional: GGA-PBE
Structure: optimized geometry

Total DFT energy (no corrections) (eV/atom): -7.43
Energy above the lowest structure with this stoichiometry (eV per atom): 0.0000
Calculated volume (A^3/atom): 26.7
Space group: Pnma, No. 62
Energy relative to the elements (eV/atom): -0.249

```
16
Lattice="-4.5384 -0.6031 -4.4095 -0.1608 -7.2931 1.1631 -6.3668 1.1601 6.3941" Properties=species:S:1:pos:R:3 pbc="T T T"
Y -1.2790 -4.9478 0.4403
Y -4.3101 -0.9646 1.5393
Y -7.4064 -2.2221 0.3166
Y -9.1365 -5.3377 3.9992
Y -9.7870 -1.7883 2.7074
Y -6.7559 -5.7715 1.6084
Y -3.6596 -4.5140 2.8311
Y -1.9295 -1.3984 -0.8515
Ho -4.5438 -4.0387 -0.5556
Ho -5.5409 -0.5353 -2.1840
Ho -6.5222 -2.6974 3.7033
Ho -5.5252 -6.2008 5.3317
Os -1.8064 -2.5229 1.8952
Os -3.8498 -6.4304 0.5694
Os -9.2596 -4.2132 1.2526
Os -7.2162 -0.3057 2.5783
```


[4]
Compound: YHo2Os
Source: the Alexandria database
Functional: GGA-PBE
Structure: optimized geometry

Total DFT energy (no corrections) (eV/atom): -6.96
Energy above the lowest structure with this stoichiometry (eV per atom): 0.0171
Calculated volume (A^3/atom): 26.4
Space group: Cmcm, No. 63
Energy relative to the elements (eV/atom): -0.248

```
8
Lattice="-2.2452 3.2686 -0.5514 -3.6667 -4.6373 1.9690 1.4669 2.4363 8.4694" Properties=species:S:1:pos:R:3 pbc="T T T"
Y -4.8442 -0.3202 3.2872
Y 0.3992 1.3878 6.5998
Ho -2.5666 -0.7521 5.9886
Ho -1.8784 1.8197 3.8985
Ho -2.0248 0.1477 9.1169
Ho -2.4202 0.9198 0.7701
Os -2.3467 2.0041 6.8982
Os -2.0982 -0.9365 2.9889
```


[5]
Compound: Y2HoOs
Source: the Alexandria database
Functional: GGA-PBE
Structure: optimized geometry

Total DFT energy (no corrections) (eV/atom): -7.26
Energy above the lowest structure with this stoichiometry (eV per atom): 0.1758
Calculated volume (A^3/atom): 26.8
Space group: P4/mmm, No. 123
Energy relative to the elements (eV/atom): -0.073

```
4
Lattice="-2.1912 -1.0053 2.4073 -1.8568 -1.6073 -2.3614 4.9599 -7.6618 1.3151" Properties=species:S:1:pos:R:3 pbc="T T T"
Y 4.0616 -6.2742 1.0769
Y 0.8983 -1.3876 0.2382
Os -2.0240 -1.3063 0.0230
Ho 0.4560 -5.1372 0.6805
```


[6]
Compound: Y2HoOs
Source: the Alexandria database
Functional: GGA-PBE
Structure: optimized geometry

Total DFT energy (no corrections) (eV/atom): -7.41
Energy above the lowest structure with this stoichiometry (eV per atom): 0.0223
Calculated volume (A^3/atom): 26.7
Space group: Cmcm, No. 63
Energy relative to the elements (eV/atom): -0.227

```
8
Lattice="3.9737 0.0001 0.0000 -1.9864 5.9447 0.0000 0.0000 0.0000 9.0529" Properties=species:S:1:pos:R:3 pbc="T T T"
Y 0.0005 4.2359 5.1229
Y 1.9868 1.7089 3.9300
Y 0.0005 4.2359 8.4564
Y 1.9868 1.7089 0.5965
Ho 1.9871 5.0329 2.2632
Ho 0.0002 0.9119 6.7897
Os 1.9871 2.8637 6.7897
Os 0.0002 3.0811 2.2632
```


> What is the calculated volume in the second record?

30.5 A^3/atom